Entry 1:
A plane-wave DFT calculation with GGA-PBE was carried out for crystalline MnAlIn2Se6 at its relaxed geometry.

a = 8.5905 Å, b = 8.5905 Å, c = 6.9105 Å
α = 94.77°, β = 94.77°, γ = 84.38°
Sites, in units of the cell vectors:
Mn 0.0873 0.9127 0.7500
Mn 0.9127 0.0873 0.2500
Al 0.2474 0.7526 0.2500
Al 0.7526 0.2474 0.7500
In 0.2248 0.4163 0.7159
In 0.4163 0.2248 0.2159
In 0.5837 0.7752 0.7841
In 0.7752 0.5837 0.2841
Se 0.0257 0.1882 0.6174
Se 0.1065 0.6617 0.9205
Se 0.1882 0.0257 0.1174
Se 0.2490 0.4747 0.3544
Se 0.3383 0.8935 0.5795
Se 0.4747 0.2490 0.8544
Se 0.5253 0.7510 0.1456
Se 0.6617 0.1065 0.4205
Se 0.7510 0.5253 0.6456
Se 0.8118 0.9743 0.8826
Se 0.8935 0.3383 0.0795
Se 0.9743 0.8118 0.3826

Output
The mass density is 5.2 g cm⁻³. The value obtained for the formation energy without anion corrections is -492 kJ/mol of formula units. Its space group is C2/c. The crystal system is monoclinic. Its uncorrected energy is -44.392 eV/f.u.

---

Entry 2:
A plane-wave DFT calculation with GGA-PBE was carried out for crystalline MnAl2InSe6 at its relaxed geometry.

a = 8.8044 Å, b = 8.8044 Å, c = 7.1255 Å
α = 108.47°, β = 108.47°, γ = 75.20°
Sites, in units of the cell vectors:
Mn 0.1081 0.8919 0.7500
Mn 0.8919 0.1081 0.2500
Al 0.1521 0.3806 0.6352
Al 0.3806 0.1521 0.1352
Al 0.6194 0.8479 0.8648
Al 0.8479 0.6194 0.3648
In 0.3231 0.6769 0.2500
In 0.6769 0.3231 0.7500
Se 0.0063 0.6522 0.7510
Se 0.0339 0.7926 0.3655
Se 0.2074 0.9661 0.1345
Se 0.3449 0.3841 0.9931
Se 0.3478 0.9937 0.7490
Se 0.3841 0.3449 0.4931
Se 0.6159 0.6551 0.5069
Se 0.6522 0.0063 0.2510
Se 0.6551 0.6159 0.0069
Se 0.7926 0.0339 0.8655
Se 0.9661 0.2074 0.6345
Se 0.9937 0.3478 0.2490

Output
The mass density is 4.7 g cm⁻³. The value obtained for the formation energy without anion corrections is -532 kJ/mol of formula units. Its space group is C2/c. The crystal system is monoclinic. Its uncorrected energy is -45.817 eV/f.u.